one.
The following is a PBE-GGA calculation of a relaxed structure of KRb2TlH, from Alexandria via LeMat-Bulk.

Cell: 6.0068 6.0068 5.7858 Å, 90.00 90.00 90.00°
With the nearest neighbours (Å) after each atom.
Sites, in units of the cell vectors:
Rb (0.5000, 0.0000, 0.0000)  2 H 3.00
H (0.0000, 0.0000, 0.0000)  2 Tl 2.89, 4 Rb 3.00
Rb (0.0000, 0.5000, 0.0000)  2 H 3.00
K (0.5000, 0.5000, 0.5000)  8 Rb 4.17, 4 Tl 4.25
Tl (0.0000, 0.0000, 0.5000)  2 H 2.89


two.
The following is a PBE-GGA calculation of a relaxed structure of KRb2TlH, from Alexandria via LeMat-Bulk.

Cell: 5.9161 5.9161 5.6621 Å, 90.00 90.00 90.00°
With the nearest neighbours (Å) after each atom.
Sites, in units of the cell vectors:
Rb (0.5000, 0.0000, 0.0000)  2 H 2.96
K (0.0000, 0.0000, 0.5000)  2 H 2.83
Tl (0.5000, 0.5000, 0.5000)  8 Rb 4.09, 4 K 4.18
Rb (0.0000, 0.5000, 0.0000)  2 H 2.96
H (0.0000, 0.0000, 0.0000)  2 K 2.83, 4 Rb 2.96


It comes down to two, which is 82 meV per atom more stable than the next structure.